No. 1
This record from Alexandria via LeMat-Bulk describes a relaxed structure of Al6ZnGa. The functional is GGA-PBE.

Cell lengths 4.016, 4.016, 8.185 Å; angles 90.00, 90.00, 90.00 degrees
Element x y z (fractional)
Al (0.000, 0.000, 0.000)
Al (0.000, 0.000, 0.500)
Al (0.000, 0.500, 0.248)
Al (0.000, 0.500, 0.752)
Al (0.500, 0.000, 0.248)
Al (0.500, 0.000, 0.752)
Zn (0.500, 0.500, 0.000)
Ga (0.500, 0.500, 0.500)

The calculated volume comes out at 132.0 Å³ per cell. Its magnetization is 0.00 μB per atom. The calculation puts the energy of formation at 0.02 eV per atom. As for the symmetry: P4/mmm. The final energy is -26.6 eV/cell.


No. 2
This record from Alexandria via LeMat-Bulk describes a relaxed structure of BaAcTe. The functional is GGA-PBE.

Cell lengths 8.228, 8.228, 7.145 Å; angles 90.00, 90.00, 148.49 degrees
Element x y z (fractional)
Ba (0.202, 0.798, 0.750)
Ba (0.798, 0.202, 0.250)
Ac (0.500, 0.500, 0.000)
Ac (0.500, 0.500, 0.500)
Te (0.126, 0.874, 0.250)
Te (0.874, 0.126, 0.750)

The calculated volume comes out at 252.8 Å³ per cell. Its magnetization is 0.00 μB per atom. For the energy relative to the elements, uncorrected, the calculation gives -0.941 eV/atom. As for the symmetry: Cmcm. The final energy is -24.0 eV/cell.


No. 3
This record from Alexandria via LeMat-Bulk describes a relaxed structure of HoHfNb4. The functional is GGA-PBE.

Cell lengths 5.620, 5.620, 5.620 Å; angles 60.00, 60.00, 60.00 degrees
Element x y z (fractional)
Ho (0.000, 0.000, 0.000)
Hf (0.750, 0.750, 0.750)
Nb (0.375, 0.375, 0.375)
Nb (0.375, 0.375, 0.875)
Nb (0.375, 0.875, 0.375)
Nb (0.875, 0.375, 0.375)

The calculated volume comes out at 125.5 Å³ per cell. Its magnetization is 0.00 μB per atom. The calculation puts the energy of formation at 0.13 eV per atom. As for the symmetry: F-43m. The final energy is -54.0 eV/cell.


No. 4
This record from Alexandria via LeMat-Bulk describes a relaxed structure of Sm3B2PdRh9. The functional is GGA-PBE.

Cell lengths 5.807, 5.807, 8.785 Å; angles 90.00, 90.00, 120.00 degrees
Element x y z (fractional)
Sm (0.000, 0.000, 0.000)
Sm (0.333, 0.667, 0.633)
Sm (0.667, 0.333, 0.367)
B (0.333, 0.667, 0.146)
B (0.667, 0.333, 0.854)
Pd (0.000, 0.000, 0.500)
Rh (0.000, 0.500, 0.000)
Rh (0.163, 0.325, 0.272)
Rh (0.163, 0.837, 0.272)
Rh (0.325, 0.163, 0.728)
Rh (0.500, 0.000, 0.000)
Rh (0.500, 0.500, 0.000)
Rh (0.675, 0.837, 0.272)
Rh (0.837, 0.163, 0.728)
Rh (0.837, 0.675, 0.728)

The calculated volume comes out at 256.5 Å³ per cell. Its magnetization is 0.00 μB per atom. The calculation puts the energy of formation at -0.45 eV per atom. As for the symmetry: P-3m1. The final energy is -105.7 eV/cell.


No. 5
This record from Alexandria via LeMat-Bulk describes a relaxed structure of Ba2InGa3Sn4. The functional is GGA-PBE.

Cell lengths 5.226, 5.226, 10.673 Å; angles 90.00, 90.00, 90.00 degrees
Element x y z (fractional)
Ba (0.000, 0.500, 0.249)
Ba (0.500, 0.000, 0.751)
In (0.000, 0.000, 0.500)
Ga (0.000, 0.500, 0.889)
Ga (0.500, 0.000, 0.111)
Ga (0.500, 0.500, 0.500)
Sn (0.000, 0.000, 0.000)
Sn (0.000, 0.500, 0.631)
Sn (0.500, 0.000, 0.369)
Sn (0.500, 0.500, 0.000)

The calculated volume comes out at 291.5 Å³ per cell. Its magnetization is 0.00 μB per atom. The calculation puts the energy of formation at -0.37 eV per atom. As for the symmetry: P-4m2. The final energy is -35.4 eV/cell.


No. 6
This record from Alexandria via LeMat-Bulk describes a relaxed structure of TbNd5Dy2. The functional is GGA-PBE.

Cell lengths 7.256, 14.519, 5.137 Å; angles 90.00, 90.00, 90.00 degrees
Element x y z (fractional)
Tb (0.000, 0.000, 0.000)
Tb (0.500, 0.500, 0.000)
Nd (0.000, 0.500, 0.000)
Nd (0.001, 0.249, 0.000)
Nd (0.248, 0.876, 0.500)
Nd (0.252, 0.376, 0.500)
Nd (0.499, 0.749, 0.000)
Nd (0.500, 0.000, 0.000)
Nd (0.501, 0.251, 0.000)
Nd (0.748, 0.624, 0.500)
Nd (0.752, 0.124, 0.500)
Nd (0.999, 0.751, 0.000)
Dy (0.249, 0.624, 0.500)
Dy (0.251, 0.124, 0.500)
Dy (0.749, 0.876, 0.500)
Dy (0.751, 0.376, 0.500)

The calculated volume comes out at 541.2 Å³ per cell. Its magnetization is 0.00 μB per atom. The calculation puts the energy of formation at 0.02 eV per atom. As for the symmetry: Pbam. The final energy is -75.1 eV/cell.


No. 7
This record from Alexandria via LeMat-Bulk describes a relaxed structure of BaSrPI. The functional is GGA-PBE.

Cell lengths 8.610, 8.610, 8.610 Å; angles 31.30, 31.30, 31.30 degrees
Element x y z (fractional)
Ba (0.000, 0.000, 0.000)
Sr (0.464, 0.464, 0.464)
P (0.736, 0.736, 0.736)
I (0.227, 0.227, 0.227)

The calculated volume comes out at 152.9 Å³ per cell. Its magnetization is 0.00 μB per atom. For the energy relative to the elements, uncorrected, the calculation gives -1.423 eV/atom. As for the symmetry: R3m. The final energy is -16.3 eV/cell.


No. 8
This record from Alexandria via LeMat-Bulk describes a relaxed structure of SrGeW3. The functional is GGA-PBE.

Cell lengths 4.787, 4.787, 4.787 Å; angles 90.00, 90.00, 90.00 degrees
Element x y z (fractional)
Sr (0.000, 0.000, 0.000)
Ge (0.500, 0.500, 0.500)
W (0.000, 0.500, 0.500)
W (0.500, 0.000, 0.500)
W (0.500, 0.500, 0.000)

The calculated volume comes out at 109.7 Å³ per cell. Its magnetization is 0.00 μB per atom. The calculation puts the energy of formation at 1.58 eV per atom. As for the symmetry: Pm-3m. The final energy is -37.2 eV/cell.


No. 9
This record from Alexandria via LeMat-Bulk describes a relaxed structure of SmZr2H. The functional is GGA-PBE.

Cell lengths 9.096, 9.096, 9.096 Å; angles 20.39, 20.39, 20.39 degrees
Element x y z (fractional)
Sm (0.000, 0.000, 0.000)
Zr (0.117, 0.117, 0.117)
Zr (0.883, 0.883, 0.883)
H (0.500, 0.500, 0.500)

The calculated volume comes out at 80.0 Å³ per cell. Its magnetization is 0.00 μB per atom. As for the symmetry: R-3m. The final energy is -24.8 eV/cell.


No. 10
This record from Alexandria via LeMat-Bulk describes a relaxed structure of MnCuAg2Ir. The functional is GGA-PBE.

Cell lengths 4.844, 4.844, 4.442 Å; angles 90.00, 90.00, 90.00 degrees
Element x y z (fractional)
Mn (0.000, 0.000, 0.000)
Cu (0.500, 0.500, 0.500)
Ag (0.000, 0.500, 0.000)
Ag (0.500, 0.000, 0.000)
Ir (0.000, 0.000, 0.500)

The calculated volume comes out at 104.2 Å³ per cell. Its magnetization is 0.72 μB per atom. The calculation puts the energy of formation at 1.28 eV per atom. As for the symmetry: P4/mmm. The final energy is -21.4 eV/cell.


No. 11
This record from Alexandria via LeMat-Bulk describes a relaxed structure of CrCoGe2Pt. The functional is GGA-PBE.

Cell lengths 4.270, 4.270, 4.931 Å; angles 90.00, 90.00, 90.00 degrees
Element x y z (fractional)
Cr (0.000, 0.000, 0.000)
Co (0.500, 0.500, 0.500)
Ge (0.000, 0.500, 0.500)
Ge (0.500, 0.000, 0.500)
Pt (0.500, 0.500, 0.000)

The calculated volume comes out at 89.9 Å³ per cell. Its magnetization is 0.03 μB per atom. The calculation puts the energy of formation at 0.89 eV per atom. As for the symmetry: P4/mmm. The final energy is -27.5 eV/cell.


No. 12
This record from Alexandria via LeMat-Bulk describes a relaxed structure of SiB2I2. The functional is GGA-PBE.

Cell lengths 9.141, 9.141, 9.141 Å; angles 159.19, 159.19, 29.60 degrees
Element x y z (fractional)
Si (0.000, 0.000, 0.000)
B (0.250, 0.750, 0.500)
B (0.750, 0.250, 0.500)
I (0.386, 0.386, 0.000)
I (0.614, 0.614, 0.000)

The calculated volume comes out at 96.4 Å³ per cell. Its magnetization is 0.00 μB per atom. For the energy relative to the elements, uncorrected, the calculation gives 1.601 eV/atom. As for the symmetry: I4/mmm. The final energy is -13.9 eV/cell.


magnetization of number 4 (Sm3B2PdRh9)? 0.00 μB per atom


Number 6 is which compound? TbNd5Dy2


Number 3 is which compound? HoHfNb4


What did the first record say?
This record from Alexandria via LeMat-Bulk describes a relaxed structure of Al6ZnGa. The functional is GGA-PBE.

Cell lengths 4.016, 4.016, 8.185 Å; angles 90.00, 90.00, 90.00 degrees
Element x y z (fractional)
Al (0.000, 0.000, 0.000)
Al (0.000, 0.000, 0.500)
Al (0.000, 0.500, 0.248)
Al (0.000, 0.500, 0.752)
Al (0.500, 0.000, 0.248)
Al (0.500, 0.000, 0.752)
Zn (0.500, 0.500, 0.000)
Ga (0.500, 0.500, 0.500)

The calculated volume comes out at 132.0 Å³ per cell. Its magnetization is 0.00 μB per atom. The calculation puts the energy of formation at 0.02 eV per atom. As for the symmetry: P4/mmm. The final energy is -26.6 eV/cell.